Density functional theory data (PBE) for a relaxed structure of La2ReAs.

abc: 6.536 7.957 3.684
angles: 90.00 90.00 90.00
Space group Cmmm (No. 65)
Unique sites:
La  0.250  0.250  0.000 (multiplicity 4)
Re  0.000  0.000  0.500 (multiplicity 2)
As  0.000  0.500  0.500 (multiplicity 2)

Summary:
energy of formation from the pure elements = -0.185 eV per atom